Entry 1:
Compound: BaPmCdSb
Source: the Alexandria database
Functional: GGA-PBE
Structure: optimized geometry

Cell: 5.680 5.680 5.680 Å, 60.00 60.00 60.00°
Fractional positions:
Ba 0.000 0.000 0.000
Pm 0.500 0.500 0.500
Cd 0.750 0.750 0.750
Sb 0.250 0.250 0.250

Properties
As for the crystal system: cubic. The value obtained for the magnetic moment is 0.00 μB per cell. Its calculated volume is 32.40 Å³ per atom. The value obtained for the formation energy from raw total energies is -500 meV/atom. The space group is F-43m (216).


Entry 2:
Compound: Ba2PmCdSe5
Source: the Alexandria database
Functional: GGA-PBE
Structure: optimized geometry

Cell: 9.799 9.799 13.325 Å, 90.00 90.00 154.07°
Fractional positions:
Ba 0.114 0.886 0.500
Ba 0.129 0.871 0.129
Ba 0.871 0.129 0.629
Ba 0.886 0.114 0.000
Pm 0.208 0.792 0.828
Pm 0.792 0.208 0.328
Cd 0.450 0.550 0.260
Cd 0.550 0.450 0.760
Se 0.052 0.948 0.873
Se 0.291 0.709 0.476
Se 0.311 0.689 0.179
Se 0.358 0.642 0.819
Se 0.495 0.505 0.581
Se 0.505 0.495 0.081
Se 0.642 0.358 0.319
Se 0.689 0.311 0.679
Se 0.709 0.291 0.976
Se 0.948 0.052 0.373

Properties
As for the crystal system: orthorhombic. The value obtained for the magnetic moment is 0.00 μB per cell. Its calculated volume is 31.08 Å³ per atom. The value obtained for the formation energy from raw total energies is -1517 meV/atom. The space group is Cmc2_1 (36).


Entry 3:
Compound: Ba3Pm3CdTe8
Source: the Alexandria database
Functional: GGA-PBE
Structure: optimized geometry

Cell: 9.574 9.574 9.574 Å, 57.47 57.47 57.47°
Fractional positions:
Ba 0.000 0.500 0.500
Ba 0.500 0.000 0.500
Ba 0.500 0.500 0.000
Pm 0.000 0.000 0.500
Pm 0.000 0.500 0.000
Pm 0.500 0.000 0.000
Cd 0.500 0.500 0.500
Te 0.240 0.739 0.739
Te 0.241 0.241 0.241
Te 0.261 0.261 0.760
Te 0.261 0.760 0.261
Te 0.739 0.240 0.739
Te 0.739 0.739 0.240
Te 0.759 0.759 0.759
Te 0.760 0.261 0.261

Properties
As for the crystal system: trigonal. The value obtained for the magnetic moment is 0.00 μB per cell. Its calculated volume is 38.97 Å³ per atom. The value obtained for the formation energy from raw total energies is -1382 meV/atom. The space group is R-3m (166).


Entry 4:
Compound: BaPmZnCd
Source: the Alexandria database
Functional: GGA-PBE
Structure: optimized geometry

Cell: 5.595 5.595 5.595 Å, 60.00 60.00 60.00°
Fractional positions:
Ba 0.000 0.000 0.000
Pm 0.500 0.500 0.500
Zn 0.250 0.250 0.250
Cd 0.750 0.750 0.750

Properties
As for the crystal system: cubic. The value obtained for the magnetic moment is 0.00 μB per cell. Its formation energy is -0.159 eV/atom. Its calculated volume is 30.95 Å³ per atom. The space group is F-43m (216).